Entry from Alexandria via LeMat-Bulk: crystalline KTa2Ag at its relaxed geometry (PBE).

extended XYZ file:
```
4
Lattice="-1.3670 2.6359 6.1037 1.3670 -2.6359 6.1037 1.3670 2.6359 -6.1037" Properties=species:S:1:pos:R:3 pbc="T T T"
K 0.0000 0.0000 0.0000
Ta 1.3670 0.0000 3.4496
Ta 0.0000 2.6359 2.6541
Ag 0.0000 0.0000 6.1037
```

Calculated values
DFT formation energy in eV/f.u.: 3.15
ΔE to the lowest computed polymorph in eV/f.u.: 1.02
Crystal system: orthorhombic
Final energy in eV per atom: -6.125